Below is an optimized crystal structure of Nb2MoRu, with properties calculated at the PBE level.

a = 7.223 Å, b = 7.223 Å, c = 5.780 Å
α = 51.33°, β = 51.33°, γ = 90.00°
Atoms (fractional coordinates):
Ru 0.000 0.000 0.000
Ru 0.750 0.250 0.500
Mo 0.500 0.500 0.000
Mo 0.250 0.750 0.500
Nb 0.636 0.125 0.250
Nb 0.114 0.625 0.250
Nb 0.375 0.364 0.750
Nb 0.875 0.886 0.750

Properties
* symmetry: I-42d (122)
* size of the total moment: 0.00 μB per formula unit
* E_form: 0.496 eV per atom


Below is an optimized crystal structure of CsNaAsBr2, with properties calculated at the PBE level.

a = 5.820 Å, b = 5.820 Å, c = 5.763 Å
α = 90.00°, β = 90.00°, γ = 90.00°
Atoms (fractional coordinates):
Cs 0.500 0.500 0.500
Na 0.000 0.000 0.000
As 0.000 0.000 0.500
Br 0.000 0.500 0.000
Br 0.500 0.000 0.000

Properties
* symmetry: P4/mmm (123)
* calculated total energy: -2.6784 eV per atom
* size of the total moment: 3.01 μB per formula unit


Below is an optimized crystal structure of TcMo2Ru, with properties calculated at the PBE level.

a = 4.500 Å, b = 4.500 Å, c = 3.000 Å
α = 90.00°, β = 90.00°, γ = 90.00°
Atoms (fractional coordinates):
Mo 0.000 0.000 0.000
Mo 0.500 0.500 0.000
Ru 0.500 0.000 0.500
Tc 0.000 0.500 0.500

Properties
* symmetry: P4/mmm (123)
* size of the total moment: 0.00 μB per formula unit
* E_form: 0.205 eV per atom


Below is an optimized crystal structure of La2ReNi, with properties calculated at the PBE level.

a = 8.554 Å, b = 8.554 Å, c = 8.554 Å
α = 24.58°, β = 24.58°, γ = 24.58°
Atoms (fractional coordinates):
La 0.996 0.996 0.996
La 0.504 0.504 0.504
Ni 0.250 0.250 0.250
Re 0.750 0.750 0.750

Properties
* symmetry: R-3m (166)
* size of the total moment: 0.00 μB per formula unit
* E_form: 0.442 eV per atom


Below is an optimized crystal structure of Ba2SiPtC, with properties calculated at the PBE level.

a = 6.090 Å, b = 3.694 Å, c = 6.090 Å
α = 90.00°, β = 90.00°, γ = 90.00°
Atoms (fractional coordinates):
C 0.000 0.500 0.000
Si 0.000 0.000 0.000
Ba 0.000 0.000 0.500
Ba 0.500 0.000 0.000
Pt 0.500 0.500 0.500

Properties
* symmetry: P4/mmm (123)
* calculated total energy: -4.5830 eV per atom
* size of the total moment: 0.00 μB per formula unit


Below is an optimized crystal structure of ScVTcRh, with properties calculated at the PBE level.

a = 4.405 Å, b = 4.405 Å, c = 4.405 Å
α = 60.00°, β = 60.00°, γ = 60.00°
Atoms (fractional coordinates):
Sc 0.000 0.000 0.000
Rh 0.750 0.750 0.750
Tc 0.250 0.250 0.250
V 0.500 0.500 0.500

Properties
* symmetry: F-43m (216)
* size of the total moment: 0.00 μB per formula unit
* E_form: -0.453 eV per atom


Below is an optimized crystal structure of TiHgBr2, with properties calculated at the PBE level.

a = 5.180 Å, b = 5.180 Å, c = 5.180 Å
α = 60.00°, β = 60.00°, γ = 60.00°
Atoms (fractional coordinates):
Hg 0.500 0.500 0.500
Br 0.250 0.250 0.250
Br 0.750 0.750 0.750
Ti 0.000 0.000 0.000

Properties
* symmetry: Fm-3m (225)
* calculated total energy: -3.0253 eV per atom
* size of the total moment: 2.00 μB per formula unit


Below is an optimized crystal structure of KBa2Cl, with properties calculated at the PBE level.

a = 4.449 Å, b = 4.449 Å, c = 12.862 Å
α = 90.00°, β = 90.00°, γ = 121.07°
Atoms (fractional coordinates):
K 0.500 0.500 0.750
Ba 0.000 0.000 0.062
Ba 0.000 0.000 0.438
Cl 0.500 0.500 0.250

Properties
* symmetry: Cmmm (65)
* calculated total energy: -2.4590 eV per atom
* size of the total moment: 0.00 μB per formula unit